Material: Dy8SbS6
Method: DFT, PBE
State: optimized geometry

Computed properties:
Its density of states at the Fermi level is 6.945 states/eV/f.u. For the formation energy from raw total energies, the calculation gives -1571 meV/atom. The total magnetic moment comes out at 0.000 μB per formula unit.

POSCAR file:
```
Dy8SbS6
1.0
-1.483 -3.560 -0.827
9.293 -3.309 -2.427
-3.350 -0.822 9.555
Dy Sb S
8 1 6
direct
0.746 0.965 0.301 Dy
0.746 0.699 0.664 Dy
0.746 0.336 0.035 Dy
0.254 0.035 0.699 Dy
0.254 0.301 0.336 Dy
0.254 0.664 0.965 Dy
0.748 0.333 0.667 Dy
0.252 0.667 0.333 Dy
0.500 0.000 0.000 Sb
0.751 0.653 0.136 S
0.751 0.864 0.517 S
0.751 0.483 0.347 S
0.249 0.347 0.864 S
0.249 0.136 0.483 S
0.249 0.517 0.653 S
```